(1)
The following is a PBE calculation of a relaxed ZrTl2HgS crystal, from Alexandria via LeMat-Bulk.

Cell lengths 5.913, 5.913, 4.898 Å; angles 90.00, 90.00, 90.00 degrees
Space group P4/mmm (No. 123)
Unique sites:
Zr1 0.000 0.000 0.000 (multiplicity 1)
Tl1 0.000 0.500 0.000 (multiplicity 2)
Hg1 0.500 0.500 0.500 (multiplicity 1)
S1 0.000 0.000 0.500 (multiplicity 1)

Calculated values
- crystal system = tetragonal



(2)
The following is a PBE calculation of a relaxed Tm2HgS4 crystal, from Alexandria via LeMat-Bulk.

Cell lengths 11.214, 11.214, 11.214 Å; angles 90.00, 90.00, 90.00 degrees
Space group Fd-3m (No. 227, origin choice 2)
Unique sites:
Tm1 0.000 0.000 0.000 (multiplicity 16)
Hg1 0.125 0.125 0.625 (multiplicity 8)
S1 0.009 0.009 0.241 (multiplicity 32)

Calculated values
- crystal system = cubic



Q: Which N(E_F) values were calculated for the entries above? A: 1.1142 0.0074, in states/eV per atom.
Q: Which formation energy without anion corrections values were calculated for the entries above? A: -0.07 -1.53, in eV/atom.